No. 1
The following is a PBE calculation of a relaxed LaSm6Y2Mg crystal, from Alexandria via LeMat-Bulk.

Values from the calculation:
E_tot	-46.64	eV/f.u.
energy of formation	0.1127	eV/atom
magnetic moment	0.0	μB per formula unit
calculated volume	33.22	A^3/atom

a = 9.416 Å, b = 15.936 Å, c = 8.856 Å
α = 90.00°, β = 90.57°, γ = 90.00°
Space group C2/c (No. 15)
One atom of each set of equivalent atoms:
La: 0.000 0.040 0.250
Sm: 0.045 0.159 0.949
Sm: 0.099 0.362 0.085
Sm: 0.241 0.287 0.694
Y: 0.225 0.450 0.443
Mg: 0.000 0.444 0.750

No. 2
The following is a PBE calculation of a relaxed Hf2BeRe crystal, from Alexandria via LeMat-Bulk.

Values from the calculation:
E_tot	-35.54	eV/f.u.
energy of formation	0.1358	eV/atom
magnetic moment	0.0	μB per formula unit
calculated volume	17.61	A^3/atom

a = 13.721 Å, b = 3.260 Å, c = 3.153 Å
α = 90.00°, β = 92.74°, γ = 90.00°
Space group C2/m (No. 12)
One atom of each set of equivalent atoms:
Hf: 0.167 0.000 0.218
Be: 0.000 0.000 0.500
Re: 0.000 0.500 0.000

No. 3
The following is a PBE calculation of a relaxed ZrNb2Fe2 crystal, from Alexandria via LeMat-Bulk.

Values from the calculation:
E_tot	-45.40	eV/f.u.
energy of formation	0.0421	eV/atom
magnetic moment	0.0	μB per formula unit
calculated volume	16.04	A^3/atom

a = 7.213 Å, b = 7.213 Å, c = 3.083 Å
α = 90.00°, β = 90.00°, γ = 90.00°
Space group P4/mbm (No. 127)
One atom of each set of equivalent atoms:
Zr: 0.000 0.000 0.000
Nb: 0.162 0.338 0.500
Fe: 0.129 0.629 0.000

No. 4
The following is a PBE calculation of a relaxed Y2Tm5Pu crystal, from Alexandria via LeMat-Bulk.

Values from the calculation:
E_tot	-48.21	eV/f.u.
energy of formation	0.1758	eV/atom
magnetic moment	6.8	μB per formula unit
calculated volume	30.49	A^3/atom

a = 6.281 Å, b = 6.725 Å, c = 11.709 Å
α = 97.54°, β = 95.55°, γ = 90.51°
Space group P-1 (No. 2)
One atom of each set of equivalent atoms:
Y: 0.000 0.000 0.000
Y: 0.000 0.000 0.500
Y: 0.000 0.500 0.000
Y: 0.500 0.000 0.500
Tm: 0.234 0.296 0.257
Tm: 0.237 0.789 0.248
Tm: 0.255 0.550 0.522
Tm: 0.277 0.926 0.758
Tm: 0.500 0.253 0.003
Pu: 0.256 0.412 0.763

No. 5
The following is a PBE calculation of a relaxed ZrTc6Ge8 crystal, from Alexandria via LeMat-Bulk.

Values from the calculation:
E_tot	-107.42	eV/f.u.
energy of formation	0.0173	eV/atom
magnetic moment	0.0	μB per formula unit
calculated volume	17.63	A^3/atom

a = 8.6731 Å, b = 8.6731 Å, c = 12.1770 Å
α = 90.00°, β = 90.00°, γ = 120.00°
Space group R-3 (No. 148, hexagonal axes)
One atom of each set of equivalent atoms:
Zr: 0.0000 0.0000 0.0000
Tc: 0.0254 0.8362 0.4065
Ge: 0.0000 0.0000 0.2313
Ge: 0.0060 0.3016 0.0904

No. 6
The following is a PBE calculation of a relaxed CuPd2PtSe8 crystal, from Alexandria via LeMat-Bulk.

Values from the calculation:
E_tot	-45.92	eV/f.u.
magnetic moment	0.0	μB per formula unit
calculated volume	29.87	A^3/atom
ΔE_f (raw)	0.21	eV/atom

a = 9.407 Å, b = 9.407 Å, c = 8.101 Å
α = 90.00°, β = 90.00°, γ = 90.00°
Space group I-4m2 (No. 119)
One atom of each set of equivalent atoms:
Cu: 0.000 0.000 0.000
Pd: 0.000 0.000 0.500
Pd: 0.000 0.500 0.750
Pt: 0.000 0.500 0.250
Se: 0.000 0.142 0.246
Se: 0.000 0.354 0.000

No. 7
The following is a PBE calculation of a relaxed LiZnCr crystal, from Alexandria via LeMat-Bulk.

Values from the calculation:
E_tot	-12.57	eV/f.u.
energy of formation	0.0816	eV/atom
magnetic moment	0.0	μB per formula unit
calculated volume	13.43	A^3/atom

a = 4.209 Å, b = 2.928 Å, c = 13.078 Å
α = 90.00°, β = 90.20°, γ = 90.00°
Space group Cm (No. 8)
One atom of each set of equivalent atoms:
Li: 0.000 0.000 0.000
Li: 0.005 0.000 0.346
Zn: 0.004 0.500 0.175
Zn: 0.006 0.500 0.518
Cr: 0.497 0.500 0.686
Cr: 0.499 0.000 0.824

No. 8
The following is a PBE calculation of a relaxed Pa4CoTe2Se crystal, from Alexandria via LeMat-Bulk.

Values from the calculation:
E_tot	-60.57	eV/f.u.
magnetic moment	0.0	μB per formula unit
calculated volume	25.69	A^3/atom
ΔE_f (raw)	-0.71	eV/atom

a = 7.201 Å, b = 3.991 Å, c = 7.511 Å
α = 90.00°, β = 107.78°, γ = 90.00°
Space group P2/m (No. 10)
One atom of each set of equivalent atoms:
Pa: 0.214 0.000 0.196
Pa: 0.248 0.500 0.787
Co: 0.000 0.500 0.000
Te: 0.000 0.000 0.500
Te: 0.500 0.500 0.500
Se: 0.500 0.000 0.000

No. 9
The following is a PBE calculation of a relaxed Sc2Cd2Hg3 crystal, from Alexandria via LeMat-Bulk.

Values from the calculation:
E_tot	-16.75	eV/f.u.
energy of formation	-0.1924	eV/atom
magnetic moment	0.0	μB per formula unit
calculated volume	23.47	A^3/atom

a = 8.350 Å, b = 4.822 Å, c = 8.616 Å
α = 90.00°, β = 108.72°, γ = 90.00°
Space group C2/m (No. 12)
One atom of each set of equivalent atoms:
Sc: 0.119 0.000 0.356
Cd: 0.132 0.500 0.899
Hg: 0.000 0.500 0.500
Hg: 0.247 0.000 0.744

No. 10
The following is a PBE calculation of a relaxed Cs3NaLi crystal, from Alexandria via LeMat-Bulk.

Values from the calculation:
E_tot	-4.88	eV/f.u.
energy of formation	0.1827	eV/atom
magnetic moment	0.0	μB per formula unit
calculated volume	88.81	A^3/atom

a = 7.629 Å, b = 7.629 Å, c = 7.629 Å
α = 90.00°, β = 90.00°, γ = 90.00°
Space group Pm-3m (No. 221)
One atom of each set of equivalent atoms:
Cs: 0.000 0.000 0.500
Na: 0.500 0.500 0.500
Li: 0.000 0.000 0.000

No. 11
The following is a PBE calculation of a relaxed NaSc3I8 crystal, from Alexandria via LeMat-Bulk.

Values from the calculation:
E_tot	-46.81	eV/f.u.
magnetic moment	2.1	μB per formula unit
calculated volume	38.31	A^3/atom
ΔE_f (raw)	-1.17	eV/atom

a = 8.3859 Å, b = 8.3859 Å, c = 15.0953 Å
α = 90.00°, β = 90.00°, γ = 120.00°
Space group P6_3mc (No. 186)
One atom of each set of equivalent atoms:
Na: 0.3333 0.6667 0.0000
Sc: 0.1706 0.3411 0.7468
I: 0.0000 0.0000 0.3596
I: 0.0013 0.5006 0.8605
I: 0.1621 0.3242 0.1351
I: 0.3333 0.6667 0.6276

No. 12
The following is a PBE calculation of a relaxed Tl2MoOs crystal, from Alexandria via LeMat-Bulk.

Values from the calculation:
E_tot	-22.06	eV/f.u.
energy of formation	1.1832	eV/atom
magnetic moment	0.0	μB per formula unit
calculated volume	19.02	A^3/atom

a = 5.729 Å, b = 8.587 Å, c = 3.094 Å
α = 90.00°, β = 90.00°, γ = 90.00°
Space group Cmmm (No. 65)
One atom of each set of equivalent atoms:
Tl: 0.250 0.250 0.000
Mo: 0.000 0.000 0.500
Os: 0.000 0.500 0.500

No. 13
The following is a PBE calculation of a relaxed MgCo2Pt crystal, from Alexandria via LeMat-Bulk.

Values from the calculation:
E_tot	-22.31	eV/f.u.
energy of formation	-0.1146	eV/atom
magnetic moment	3.4	μB per formula unit
calculated volume	13.74	A^3/atom

a = 4.052 Å, b = 2.721 Å, c = 9.967 Å
α = 90.00°, β = 90.00°, γ = 90.00°
Space group Amm2 (No. 38)
One atom of each set of equivalent atoms:
Mg: 0.000 0.000 0.000
Co: 0.000 0.000 0.263
Co: 0.500 0.000 0.373
Pt: 0.500 0.000 0.640

No. 14
The following is a PBE calculation of a relaxed Dy5Sb2Os crystal, from Alexandria via LeMat-Bulk.

Values from the calculation:
E_tot	-45.52	eV/f.u.
magnetic moment	0.0	μB per formula unit
calculated volume	26.74	A^3/atom
ΔE_f (raw)	-0.38	eV/atom

a = 5.759 Å, b = 9.086 Å, c = 16.356 Å
α = 90.00°, β = 90.00°, γ = 90.00°
Space group Cmcm (No. 63)
One atom of each set of equivalent atoms:
Dy: 0.000 0.057 0.095
Dy: 0.000 0.255 0.750
Dy: 0.000 0.389 0.146
Sb: 0.000 0.287 0.558
Os: 0.000 0.121 0.250

No. 15
The following is a PBE calculation of a relaxed Y2HgF crystal, from Alexandria via LeMat-Bulk.

Values from the calculation:
E_tot	-19.13	eV/f.u.
magnetic moment	0.0	μB per formula unit
calculated volume	23.19	A^3/atom
ΔE_f (raw)	-1.01	eV/atom

a = 7.186 Å, b = 7.186 Å, c = 7.186 Å
α = 90.00°, β = 90.00°, γ = 90.00°
Space group Fm-3m (No. 225)
One atom of each set of equivalent atoms:
Y: 0.250 0.250 0.250
Hg: 0.000 0.000 0.000
F: 0.000 0.000 0.500

No. 16
The following is a PBE calculation of a relaxed LaTm2Pb crystal, from Alexandria via LeMat-Bulk.

Values from the calculation:
E_tot	-18.92	eV/f.u.
energy of formation	-0.3365	eV/atom
magnetic moment	0.5	μB per formula unit
calculated volume	32.10	A^3/atom

a = 4.721 Å, b = 4.807 Å, c = 11.561 Å
α = 90.00°, β = 101.72°, γ = 90.00°
Space group P2_1/m (No. 11)
One atom of each set of equivalent atoms:
La: 0.191 0.250 0.383
Tm: 0.053 0.750 0.107
Tm: 0.440 0.750 0.878
Pb: 0.341 0.250 0.681

No. 17
The following is a PBE calculation of a relaxed BaMg2SnCl crystal, from Alexandria via LeMat-Bulk.

Values from the calculation:
E_tot	-13.25	eV/f.u.
magnetic moment	0.0	μB per formula unit
calculated volume	40.10	A^3/atom
ΔE_f (raw)	-0.46	eV/atom

a = 5.298 Å, b = 5.298 Å, c = 7.143 Å
α = 90.00°, β = 90.00°, γ = 90.00°
Space group P4/mmm (No. 123)
One atom of each set of equivalent atoms:
Ba: 0.000 0.000 0.000
Mg: 0.000 0.500 0.500
Sn: 0.000 0.000 0.500
Cl: 0.500 0.500 0.000

No. 18
The following is a PBE calculation of a relaxed Tb3Pr8Nd crystal, from Alexandria via LeMat-Bulk.

Values from the calculation:
E_tot	-50.24	eV/f.u.
energy of formation	0.5547	eV/atom
magnetic moment	0.0	μB per formula unit
calculated volume	38.35	A^3/atom

a = 8.860 Å, b = 8.860 Å, c = 11.726 Å
α = 90.00°, β = 90.00°, γ = 90.00°
Space group I-42m (No. 121)
One atom of each set of equivalent atoms:
Tb: 0.000 0.000 0.000
Tb: 0.000 0.500 0.250
Pr: 0.124 0.124 0.752
Pr: 0.248 0.248 0.006
Nd: 0.000 0.000 0.500

No. 19
The following is a PBE calculation of a relaxed Ce3In5O12 crystal, from Alexandria via LeMat-Bulk.

Values from the calculation:
E_tot	-134.56	eV/f.u.
magnetic moment	2.4	μB per formula unit
calculated volume	15.02	A^3/atom
ΔE_f (raw)	-2.18	eV/atom

a = 13.395 Å, b = 13.395 Å, c = 13.395 Å
α = 90.00°, β = 90.00°, γ = 90.00°
Space group Ia-3d (No. 230)
One atom of each set of equivalent atoms:
Ce: 0.000 0.250 0.125
In: 0.000 0.000 0.000
In: 0.000 0.250 0.375
O: 0.021 0.062 0.652